PbCl | PBE | optimized geometry

Output
Its electronic total energy is -3.47 eV per atom. For the uncorrected formation energy, the calculation gives -0.69 eV per atom.

Geometry as POSCAR:
```
PbCl
1.0
5.330 0.000 0.000
0.000 18.944 0.000
0.000 0.000 3.878
Pb Cl
6 6
Cartesian
1.333 0.344 0.966
1.333 9.128 0.966
1.333 14.208 2.903
3.998 4.736 0.975
3.998 9.816 2.912
3.998 18.601 2.912
1.333 4.736 0.032
1.333 11.968 0.997
1.333 16.449 0.997
3.998 2.495 2.881
3.998 6.977 2.881
3.998 14.208 3.846
```